A relaxed structure of KRb2SrCl, computed with GGA-PBE.

Calculated values
Formation energy from raw total energies   -61.20 kJ per mole of atoms
Distance to the lowest polymorph of the same formula   0 meV/atom
M_tot   0.000 μB per atom
Space group   P4/mmm, No. 123
Raw total energy   -0.07153 hartree per atom

a = 7.1887 Å, b = 7.1887 Å, c = 5.8911 Å
α = 90.00°, β = 90.00°, γ = 90.00°
Fractional positions:
Sr1 0.0000 0.0000 0.5000
K1 0.5000 0.5000 0.5000
Rb1 0.0000 0.5000 0.0000
Rb2 0.5000 0.0000 0.0000
Cl1 0.0000 0.0000 0.0000